No. 1
The following is a GGA+U calculation of crystalline NiMoP2O at its relaxed geometry, from Alexandria via LeMat-Bulk.

Relative energy among the computed polymorphs (meV/atom): 0
Total moment (μB per atom): 0.19

a b c (Å): 4.8095 4.8095 3.7691
angles (deg): 90.00 90.00 90.00
Space group P4/mmm (No. 123)
Unique sites:
Ni 0.0000 0.0000 0.0000 x1
Mo 0.5000 0.5000 0.5000 x1
P 0.0000 0.5000 0.5000 x2
O 0.5000 0.5000 0.0000 x1



No. 2
The following is a GGA+U calculation of crystalline PaNiMoO6 at its relaxed geometry, from Alexandria via LeMat-Bulk.

Calculated total energy (eV/cell): -135.4
Total moment (μB per atom): 0.33

a b c (Å): 5.4853 5.4853 8.7877
angles (deg): 90.00 90.00 120.00
Space group P-31c (No. 163)
Unique sites:
Pa 0.3333 0.6667 0.2500 x2
Ni 0.0000 0.0000 0.0000 x2
Mo 0.3333 0.6667 0.7500 x2
O 0.0245 0.3536 0.6290 x12



No. 3
The following is a GGA+U calculation of crystalline NiMoPb2O6 at its relaxed geometry, from Alexandria via LeMat-Bulk.

Calculated total energy (eV/cell): -119.9
Total moment (μB per atom): 0.20

a b c (Å): 5.7011 5.6791 9.8299
angles (deg): 90.00 125.37 90.00
Space group P2_1/c (No. 14)
Unique sites:
Ni 0.0000 0.0000 0.0000 x2
Mo 0.5000 0.0000 0.5000 x2
Pb 0.2540 0.0186 0.7495 x4
O 0.2027 0.0082 0.2597 x4
O 0.2664 0.7180 0.0293 x4
O 0.3153 0.2345 0.0307 x4



No. 4
The following is a GGA+U calculation of crystalline NiMo2PbO8 at its relaxed geometry, from Alexandria via LeMat-Bulk.

Calculated total energy (eV/cell): -77.8
Total moment (μB per atom): 0.17

a b c (Å): 5.8164 5.8164 6.6989
angles (deg): 90.00 90.00 120.00
Space group P-3m1 (No. 164)
Unique sites:
Ni 0.0000 0.0000 0.0000 x1
Mo 0.3333 0.6667 0.2680 x2
Pb 0.0000 0.0000 0.5000 x1
O 0.1609 0.3219 0.1913 x6
O 0.3333 0.6667 0.5306 x2



No. 5
The following is a GGA+U calculation of crystalline Ni2MoPdO6 at its relaxed geometry, from Alexandria via LeMat-Bulk.

Calculated total energy (eV/cell): -57.6
Total moment (μB per atom): 0.40

a b c (Å): 4.9354 5.3881 5.4718
angles (deg): 112.19 116.48 91.64
Space group P1 (No. 1)
Unique sites:
Ni 0.0000 0.0000 0.0000 x1
Ni 0.4754 0.5022 0.0186 x1
Mo 0.2749 0.8925 0.5677 x1
Pd 0.7722 0.3999 0.5914 x1
O 0.0788 0.1944 0.7778 x1
O 0.1730 0.6954 0.7810 x1
O 0.3706 0.1300 0.4109 x1
O 0.4928 0.6372 0.4361 x1
O 0.6246 0.1393 0.9539 x1
O 0.8915 0.7612 0.2127 x1



No. 6
The following is a GGA+U calculation of crystalline PmNiMo2O8 at its relaxed geometry, from Alexandria via LeMat-Bulk.

Calculated total energy (eV/cell): -165.6
Total moment (μB per atom): 0.08

a b c (Å): 7.3558 7.3558 6.7204
angles (deg): 90.00 90.00 90.00
Space group I-4m2 (No. 119)
Unique sites:
Pm 0.0000 0.0000 0.0000 x2
Ni 0.0000 0.5000 0.7500 x2
Mo 0.0000 0.0000 0.5000 x2
Mo 0.0000 0.5000 0.2500 x2
O 0.0000 0.1909 0.6703 x8
O 0.0000 0.3026 0.0955 x8



No. 7
The following is a GGA+U calculation of crystalline PmNi2MoO6 at its relaxed geometry, from Alexandria via LeMat-Bulk.

Calculated total energy (eV/cell): -128.4
Total moment (μB per atom): 0.50

a b c (Å): 5.4915 5.5985 9.6366
angles (deg): 90.00 124.50 90.00
Space group P2_1/c (No. 14)
Unique sites:
Pm 0.0000 0.0000 0.0000 x2
Ni 0.2380 0.0202 0.7110 x4
Mo 0.5000 0.0000 0.5000 x2
O 0.1346 0.1445 0.4613 x4
O 0.2662 0.7064 0.3945 x4
O 0.4111 0.1331 0.2767 x4



No. 8
The following is a GGA+U calculation of crystalline Pm2NiMoO6 at its relaxed geometry, from Alexandria via LeMat-Bulk.

Calculated total energy (eV/cell): -70.8
Total moment (μB per atom): 0.40

a b c (Å): 5.3873 5.3873 4.7924
angles (deg): 90.00 90.00 90.00
Space group P4mm (No. 99)
Unique sites:
Pm 0.0000 0.5000 0.0000 x2
Ni 0.0000 0.0000 0.5835 x1
Mo 0.5000 0.5000 0.5641 x1
O 0.0000 0.0000 0.1657 x1
O 0.2517 0.2517 0.7068 x4
O 0.5000 0.5000 0.1550 x1



No. 9
The following is a GGA+U calculation of crystalline NiMo2PtO at its relaxed geometry, from Alexandria via LeMat-Bulk.

Calculated total energy (eV/cell): -23.2
Total moment (μB per atom): 0.00

a b c (Å): 4.0242 4.0242 4.3304
angles (deg): 90.00 90.00 90.00
Space group P4/mmm (No. 123)
Unique sites:
Ni 0.0000 0.0000 0.0000 x1
Mo 0.0000 0.5000 0.5000 x2
Pt 0.5000 0.5000 0.0000 x1
O 0.5000 0.5000 0.5000 x1



No. 10
The following is a GGA+U calculation of crystalline PuNiMoO6 at its relaxed geometry, from Alexandria via LeMat-Bulk.

Calculated total energy (eV/cell): -141.3
Total moment (μB per atom): 0.67

a b c (Å): 5.2020 5.2020 9.2152
angles (deg): 90.00 90.00 120.00
Space group P-31c (No. 163)
Unique sites:
Pu 0.3333 0.6667 0.2500 x2
Ni 0.3333 0.6667 0.7500 x2
Mo 0.0000 0.0000 0.0000 x2
O 0.0025 0.3254 0.6273 x12



No. 11
The following is a GGA+U calculation of crystalline RbNiMoO4 at its relaxed geometry, from Alexandria via LeMat-Bulk.

Calculated total energy (eV/cell): -80.5
Total moment (μB per atom): 0.14

a b c (Å): 6.5499 5.9771 7.1406
angles (deg): 90.00 104.39 90.00
Space group P2_1/m (No. 11)
Unique sites:
Rb 0.0010 0.2500 0.2721 x2
Ni 0.4849 0.2500 0.0319 x2
Mo 0.3637 0.7500 0.2837 x2
O 0.1359 0.7500 0.3777 x2
O 0.3454 0.5124 0.1145 x4
O 0.4017 0.2500 0.5312 x2



No. 12
The following is a GGA+U calculation of crystalline RbNi2MoO at its relaxed geometry, from Alexandria via LeMat-Bulk.

Calculated total energy (eV/cell): -9.4
Total moment (μB per atom): 0.54

a b c (Å): 5.3324 5.3324 4.3790
angles (deg): 90.00 90.00 90.00
Space group P4/mmm (No. 123)
Unique sites:
Rb 0.0000 0.0000 0.0000 x1
Ni 0.0000 0.5000 0.0000 x2
Mo 0.5000 0.5000 0.5000 x1
O 0.0000 0.0000 0.5000 x1